No. 1
4
Lattice="5.000 -2.136 0.000 5.000 2.136 0.000 -2.285 0.000 6.318" Properties=species:S:1:pos:R:3 comment="BaSc2Sb | the Alexandria database | PBE | relaxed" space_group="Cm (8)" formation_energy_uncorrected_ev_per_atom=-0.2166 pbc="T T T"
Ba 0.000 0.000 0.000
Sc 4.131 0.000 3.493
Sc 7.092 0.000 2.235
Sb 1.087 0.000 3.975

---

No. 2
4
Lattice="4.909 0.000 0.000 0.000 4.909 0.000 0.000 0.000 4.708" Properties=species:S:1:pos:R:3 comment="BaSc2Sb | the Alexandria database | PBE | relaxed" space_group="P4/mmm (123)" formation_energy_uncorrected_ev_per_atom=-0.1660 pbc="T T T"
Ba 0.000 0.000 0.000
Sc 0.000 2.455 2.354
Sc 2.455 0.000 2.354
Sb 2.455 2.455 0.000

---

No. 3
10
Lattice="8.440 0.000 0.000 0.000 8.440 0.000 0.000 0.000 5.044" Properties=species:S:1:pos:R:3 comment="Ba2ScSb2 | the Alexandria database | PBE | relaxed" polymorph_energy_mev_per_atom=165 space_group="P4/mbm (127)" formation_energy_uncorrected_ev_per_atom=-0.7829 pbc="T T T"
Ba 1.228 2.992 0.000
Ba 2.992 7.211 0.000
Ba 5.448 1.228 0.000
Ba 7.211 5.448 0.000
Sc 0.000 0.000 2.522
Sc 4.220 4.220 2.522
Sb 1.413 5.633 2.522
Sb 2.807 1.413 2.522
Sb 5.633 7.026 2.522
Sb 7.026 2.807 2.522

---

No. 4
4
Lattice="1.761 1.017 11.870 -1.761 1.017 11.870 0.000 -2.033 11.870" Properties=species:S:1:pos:R:3 comment="BaSc2Sb | the Alexandria database | PBE | relaxed" space_group="R-3m (166)" formation_energy_uncorrected_ev_per_atom=0.3128 pbc="T T T"
Ba 0.000 0.000 0.000
Sc 0.000 0.000 14.943
Sc 0.000 0.000 20.667
Sb 0.000 0.000 17.805

---

Q: Which total moment values were calculated for the entries above? A: 0.924, 1.346, 1.952, 0.000, in μB per cell.
Q: Which D(E_F) values were calculated for the entries above? A: 1.349, 1.211, 0.133, 1.448, in states/eV/atom.